(1)
This record from the Alexandria database describes Rb2SiHgI6 after structural relaxation. The functional is PBE.

Calculated values
**Total moment**: 0.00 μB/atom
**Raw formation energy**: -6.70 eV/f.u.
**SG**: Fm-3m, No. 225
**Total DFT energy (no corrections)**: -2.3661 eV/atom

abc: 8.380 8.380 8.384
angles: 60.02 60.02 90.00
Element x y z (fractional)
I: 0.737 0.737 0.525
I: 0.263 0.263 0.475
I: 0.263 0.263 0.000
I: 0.737 0.263 0.000
I: 0.263 0.737 0.000
I: 0.737 0.737 0.000
Hg: 0.000 0.000 0.000
Rb: 0.250 0.750 0.500
Rb: 0.750 0.250 0.500
Si: 0.500 0.500 0.000

=====

(2)
This record from the Alexandria database describes Li2CdP after structural relaxation. The functional is PBE.

Calculated values
**Total moment**: 0.00 μB/atom
**SG**: C2/m, No. 12
**Formation energy from the elements**: -23 kJ per mole of atoms
**Total DFT energy (no corrections)**: -2.7777 eV/atom

abc: 4.295 4.295 5.844
angles: 82.29 82.29 39.91
Element x y z (fractional)
Li: 0.486 0.486 0.559
Li: 0.014 0.014 0.941
P: 0.750 0.750 0.750
Cd: 0.250 0.250 0.250

=====

(3)
This record from the Alexandria database describes KBaBr4 after structural relaxation. The functional is PBE.

Calculated values
**Total moment**: 0.17 μB/atom
**Raw formation energy**: -5.72 eV/f.u.
**SG**: F-43m, No. 216
**Total DFT energy (no corrections)**: -2.5727 eV/atom

abc: 6.688 6.688 6.688
angles: 60.00 60.00 60.00
Element x y z (fractional)
Br: 0.375 0.375 0.375
Br: 0.875 0.375 0.375
Br: 0.375 0.375 0.875
Br: 0.375 0.875 0.375
K: 0.750 0.750 0.750
Ba: 0.000 0.000 0.000

=====

(4)
This record from the Alexandria database describes BeSe2SN after structural relaxation. The functional is PBE.

Calculated values
**Total moment**: 0.00 μB/atom
**Raw formation energy**: 3.59 eV/f.u.
**SG**: P4/mmm, No. 123
**Total DFT energy (no corrections)**: -3.9120 eV/atom
**Excess energy over the best structure of this formula in the dataset**: 0 meV per atom

abc: 4.910 4.910 3.137
angles: 90.00 90.00 90.00
Element x y z (fractional)
Be: 0.000 0.000 0.000
Se: 0.500 0.000 0.000
Se: 0.000 0.500 0.000
S: 0.500 0.500 0.500
N: 0.000 0.000 0.500

=====

(5)
This record from the Alexandria database describes Hf3Zr5In3 after structural relaxation. The functional is PBE.

Calculated values
**Total moment**: 0.00 μB/atom
**SG**: P-62m, No. 189
**Formation energy from the elements**: 35 kJ per mole of atoms
**Total DFT energy (no corrections)**: -6.9803 eV/atom
**Excess energy over the best structure of this formula in the dataset**: 0 meV per atom

abc: 3.112 9.988 9.988
angles: 120.00 90.00 90.00
Element x y z (fractional)
Zr: 0.500 0.333 0.667
Zr: 0.500 0.000 0.333
Zr: 0.500 0.667 0.333
Zr: 0.500 0.667 0.667
Zr: 0.500 0.333 0.000
In: 0.000 0.415 0.415
In: 0.000 0.000 0.585
In: 0.000 0.585 0.000
Hf: 0.500 0.166 0.166
Hf: 0.500 0.000 0.834
Hf: 0.500 0.834 0.000

=====

(6)
This record from the Alexandria database describes LiBeS2N after structural relaxation. The functional is PBE.

Calculated values
**Total moment**: 0.00 μB/atom
**Raw formation energy**: 6.20 eV/f.u.
**SG**: P4/mmm, No. 123
**Total DFT energy (no corrections)**: -3.2050 eV/atom
**Excess energy over the best structure of this formula in the dataset**: 991 meV per atom

abc: 4.415 4.415 3.437
angles: 90.00 90.00 90.00
Element x y z (fractional)
S: 0.000 0.500 0.000
S: 0.500 0.000 0.000
Be: 0.500 0.500 0.500
Li: 0.000 0.000 0.000
N: 0.000 0.000 0.500

=====

(7)
This record from the Alexandria database describes TeRhSe after structural relaxation. The functional is PBE.

Calculated values
**Total moment**: 0.00 μB/atom
**Raw formation energy**: -0.65 eV/f.u.
**SG**: F-43m, No. 216
**Total DFT energy (no corrections)**: -4.8746 eV/atom
**Excess energy over the best structure of this formula in the dataset**: 188 meV per atom

abc: 4.517 4.517 4.517
angles: 60.00 60.00 60.00
Element x y z (fractional)
Se: 0.000 0.000 0.000
Rh: 0.750 0.750 0.750
Te: 0.500 0.500 0.500

=====

(8)
This record from the Alexandria database describes AcCd2F8 after structural relaxation. The functional is PBE.

Calculated values
**Total moment**: 0.10 μB/atom
**Raw formation energy**: -28.78 eV/f.u.
**SG**: I4/mmm, No. 139
**Total DFT energy (no corrections)**: -4.5174 eV/atom
**Excess energy over the best structure of this formula in the dataset**: 24 meV per atom

abc: 5.497 5.497 7.162
angles: 112.57 112.57 90.00
Element x y z (fractional)
F: 0.881 0.394 0.275
F: 0.394 0.394 0.275
F: 0.119 0.606 0.725
F: 0.881 0.881 0.275
F: 0.606 0.606 0.725
F: 0.606 0.119 0.725
F: 0.394 0.881 0.275
F: 0.119 0.119 0.725
Cd: 0.750 0.250 0.500
Cd: 0.250 0.750 0.500
Ac: 0.500 0.500 0.000